1.
# Rb5Tl4In

Crystalline Rb5Tl4In at its relaxed geometry (PBE, Alexandria).

Output
Energy of formation from the pure elements, eV per atom: -0.0590
Mass density, g cm⁻³: 4.3

The structure in CIF format:
```
data_Rb5Tl4In
_cell_length_a 11.908
_cell_length_b 11.908
_cell_length_c 9.552
_cell_angle_alpha 112.60
_cell_angle_beta 112.60
_cell_angle_gamma 24.85
_symmetry_space_group_name_H-M 'P 1'
_symmetry_Int_Tables_number 1
_symmetry_space_group_name_Hall 'P 1'
loop_
_atom_site_label
_atom_site_fract_x
_atom_site_fract_y
_atom_site_fract_z
Rb1 0.000 0.000 0.000
Rb2 0.307 0.307 0.909
Rb3 0.354 0.354 0.494
Rb4 0.646 0.646 0.506
Rb5 0.693 0.693 0.091
Tl1 0.125 0.125 0.782
Tl2 0.472 0.472 0.281
Tl3 0.528 0.528 0.719
Tl4 0.875 0.875 0.218
In1 0.000 0.000 0.500
```

***

2.
# RbTl2In2

Crystalline RbTl2In2 at its relaxed geometry (PBE, Alexandria).

Output
Energy of formation from the pure elements, eV per atom: -0.0610
Mass density, g cm⁻³: 6.8
Excess energy over the best structure of this formula in the dataset, meV per atom: 26

The structure in CIF format:
```
data_RbTl2In2
_cell_length_a 4.744
_cell_length_b 4.744
_cell_length_c 7.815
_cell_angle_alpha 90.00
_cell_angle_beta 90.00
_cell_angle_gamma 90.00
_symmetry_space_group_name_H-M 'P 1'
_symmetry_Int_Tables_number 1
_symmetry_space_group_name_Hall 'P 1'
loop_
_atom_site_label
_atom_site_fract_x
_atom_site_fract_y
_atom_site_fract_z
Rb1 0.000 0.000 0.000
Tl1 0.500 0.500 0.234
Tl2 0.500 0.500 0.766
In1 0.000 0.500 0.500
In2 0.500 0.000 0.500
```

***

3.
# Rb2Tl6In3

Crystalline Rb2Tl6In3 at its relaxed geometry (PBE, Alexandria).

Output
Energy of formation from the pure elements, eV per atom: -0.0326
Mass density, g cm⁻³: 7.4

The structure in CIF format:
```
data_Rb2Tl6In3
_cell_length_a 9.247
_cell_length_b 9.247
_cell_length_c 5.313
_cell_angle_alpha 90.00
_cell_angle_beta 90.00
_cell_angle_gamma 120.00
_symmetry_space_group_name_H-M 'P 1'
_symmetry_Int_Tables_number 1
_symmetry_space_group_name_Hall 'P 1'
loop_
_atom_site_label
_atom_site_fract_x
_atom_site_fract_y
_atom_site_fract_z
Rb1 0.333 0.667 0.000
Rb2 0.667 0.333 0.000
Tl1 0.000 0.291 0.500
Tl2 0.000 0.799 0.000
Tl3 0.201 0.201 0.000
Tl4 0.291 0.000 0.500
Tl5 0.709 0.709 0.500
Tl6 0.799 0.000 0.000
In1 0.000 0.632 0.500
In2 0.368 0.368 0.500
In3 0.632 0.000 0.500
```

***

4.
# Rb2Tl2In15

Crystalline Rb2Tl2In15 at its relaxed geometry (PBE, Alexandria).

Output
Energy of formation from the pure elements, eV per atom: -0.0305
Mass density, g cm⁻³: 6.6

The structure in CIF format:
```
data_Rb2Tl2In15
_cell_length_a 8.409
_cell_length_b 8.409
_cell_length_c 8.409
_cell_angle_alpha 82.48
_cell_angle_beta 82.48
_cell_angle_gamma 82.48
_symmetry_space_group_name_H-M 'P 1'
_symmetry_Int_Tables_number 1
_symmetry_space_group_name_Hall 'P 1'
loop_
_atom_site_label
_atom_site_fract_x
_atom_site_fract_y
_atom_site_fract_z
Rb1 0.161 0.161 0.161
Rb2 0.839 0.839 0.839
Tl1 0.398 0.398 0.398
Tl2 0.602 0.602 0.602
In1 0.000 0.500 0.500
In2 0.142 0.142 0.654
In3 0.142 0.654 0.142
In4 0.205 0.500 0.795
In5 0.205 0.795 0.500
In6 0.346 0.858 0.858
In7 0.500 0.000 0.500
In8 0.500 0.205 0.795
In9 0.500 0.500 0.000
In10 0.500 0.795 0.205
In11 0.654 0.142 0.142
In12 0.795 0.205 0.500
In13 0.795 0.500 0.205
In14 0.858 0.346 0.858
In15 0.858 0.858 0.346
```

***

5.
# Rb2TlIn

Crystalline Rb2TlIn at its relaxed geometry (PBE, Alexandria).

Output
Energy of formation from the pure elements, eV per atom: 0.1708
Mass density, g cm⁻³: 4.4
Excess energy over the best structure of this formula in the dataset, meV per atom: 237

The structure in CIF format:
```
data_Rb2TlIn
_cell_length_a 10.321
_cell_length_b 10.321
_cell_length_c 6.979
_cell_angle_alpha 90.00
_cell_angle_beta 90.00
_cell_angle_gamma 90.00
_symmetry_space_group_name_H-M 'P 1'
_symmetry_Int_Tables_number 1
_symmetry_space_group_name_Hall 'P 1'
loop_
_atom_site_label
_atom_site_fract_x
_atom_site_fract_y
_atom_site_fract_z
Rb1 0.248 0.250 0.125
Rb2 0.250 0.748 0.375
Rb3 0.250 0.752 0.875
Rb4 0.252 0.250 0.625
Rb5 0.748 0.750 0.625
Rb6 0.750 0.248 0.875
Rb7 0.750 0.252 0.375
Rb8 0.752 0.750 0.125
Tl1 0.000 0.000 0.000
Tl2 0.000 0.500 0.250
Tl3 0.500 0.000 0.750
Tl4 0.500 0.500 0.500
In1 0.000 0.000 0.500
In2 0.000 0.500 0.750
In3 0.500 0.000 0.250
In4 0.500 0.500 0.000
```

***

6.
# RbTl7In5

Crystalline RbTl7In5 at its relaxed geometry (PBE, Alexandria).

Output
Energy of formation from the pure elements, eV per atom: -0.0203
Mass density, g cm⁻³: 8.5

The structure in CIF format:
```
data_RbTl7In5
_cell_length_a 8.618
_cell_length_b 8.618
_cell_length_c 8.618
_cell_angle_alpha 136.74
_cell_angle_beta 98.66
_cell_angle_gamma 96.96
_symmetry_space_group_name_H-M 'P 1'
_symmetry_Int_Tables_number 1
_symmetry_space_group_name_Hall 'P 1'
loop_
_atom_site_label
_atom_site_fract_x
_atom_site_fract_y
_atom_site_fract_z
Rb1 0.000 0.000 0.000
Tl1 0.205 0.498 0.707
Tl2 0.219 0.719 0.500
Tl3 0.353 0.999 0.354
Tl4 0.356 0.356 0.000
Tl5 0.644 0.644 0.000
Tl6 0.645 0.999 0.646
Tl7 0.792 0.498 0.293
In1 0.503 0.498 0.504
In2 0.503 0.999 0.005
In3 0.777 0.277 0.500
In4 0.994 0.498 0.995
In5 0.994 0.999 0.496
```

***

7.
# RbTlIn3

Crystalline RbTlIn3 at its relaxed geometry (PBE, Alexandria).

Output
Energy of formation from the pure elements, eV per atom: 0.0572
Mass density, g cm⁻³: 6.0
Excess energy over the best structure of this formula in the dataset, meV per atom: 148

The structure in CIF format:
```
data_RbTlIn3
_cell_length_a 7.653
_cell_length_b 7.653
_cell_length_c 6.931
_cell_angle_alpha 90.00
_cell_angle_beta 90.00
_cell_angle_gamma 120.05
_symmetry_space_group_name_H-M 'P 1'
_symmetry_Int_Tables_number 1
_symmetry_space_group_name_Hall 'P 1'
loop_
_atom_site_label
_atom_site_fract_x
_atom_site_fract_y
_atom_site_fract_z
Rb1 0.167 0.833 0.750
Rb2 0.833 0.167 0.250
Tl1 0.500 0.500 0.000
Tl2 0.500 0.500 0.500
In1 0.108 0.304 0.750
In2 0.304 0.108 0.250
In3 0.304 0.696 0.250
In4 0.696 0.304 0.750
In5 0.696 0.892 0.750
In6 0.892 0.696 0.250
```

***

8.
# Rb2Tl4In3

Crystalline Rb2Tl4In3 at its relaxed geometry (PBE, Alexandria).

Output
Energy of formation from the pure elements, eV per atom: -0.0576
Mass density, g cm⁻³: 7.1
Excess energy over the best structure of this formula in the dataset, meV per atom: 2

The structure in CIF format:
```
data_Rb2Tl4In3
_cell_length_a 10.041
_cell_length_b 10.041
_cell_length_c 9.662
_cell_angle_alpha 90.00
_cell_angle_beta 90.00
_cell_angle_gamma 140.30
_symmetry_space_group_name_H-M 'P 1'
_symmetry_Int_Tables_number 1
_symmetry_space_group_name_Hall 'P 1'
loop_
_atom_site_label
_atom_site_fract_x
_atom_site_fract_y
_atom_site_fract_z
Rb1 0.108 0.892 0.900
Rb2 0.392 0.608 0.400
Rb3 0.608 0.392 0.600
Rb4 0.892 0.108 0.100
Tl1 0.182 0.818 0.517
Tl2 0.190 0.310 0.750
Tl3 0.310 0.190 0.250
Tl4 0.318 0.682 0.017
Tl5 0.682 0.318 0.983
Tl6 0.690 0.810 0.750
Tl7 0.810 0.690 0.250
Tl8 0.818 0.182 0.483
In1 0.000 0.000 0.500
In2 0.028 0.472 0.750
In3 0.472 0.028 0.250
In4 0.500 0.500 0.000
In5 0.528 0.972 0.750
In6 0.972 0.528 0.250
```

***

9.
# RbTl2In2

Crystalline RbTl2In2 at its relaxed geometry (PBE, Alexandria).

Output
Energy of formation from the pure elements, eV per atom: -0.0257
Mass density, g cm⁻³: 7.3
Excess energy over the best structure of this formula in the dataset, meV per atom: 61

The structure in CIF format:
```
data_RbTl2In2
_cell_length_a 9.542
_cell_length_b 9.542
_cell_length_c 3.623
_cell_angle_alpha 90.00
_cell_angle_beta 90.00
_cell_angle_gamma 90.00
_symmetry_space_group_name_H-M 'P 1'
_symmetry_Int_Tables_number 1
_symmetry_space_group_name_Hall 'P 1'
loop_
_atom_site_label
_atom_site_fract_x
_atom_site_fract_y
_atom_site_fract_z
Rb1 0.000 0.000 0.000
Rb2 0.500 0.500 0.000
Tl1 0.140 0.360 0.000
Tl2 0.360 0.860 0.000
Tl3 0.640 0.140 0.000
Tl4 0.860 0.640 0.000
In1 0.149 0.649 0.500
In2 0.351 0.149 0.500
In3 0.649 0.851 0.500
In4 0.851 0.351 0.500
```

***

10.
# Rb2Tl8In3

Crystalline Rb2Tl8In3 at its relaxed geometry (PBE, Alexandria).

Output
Energy of formation from the pure elements, eV per atom: -0.0160
Mass density, g cm⁻³: 8.1

The structure in CIF format:
```
data_Rb2Tl8In3
_cell_length_a 9.428
_cell_length_b 9.428
_cell_length_c 7.394
_cell_angle_alpha 103.72
_cell_angle_beta 103.72
_cell_angle_gamma 43.97
_symmetry_space_group_name_H-M 'P 1'
_symmetry_Int_Tables_number 1
_symmetry_space_group_name_Hall 'P 1'
loop_
_atom_site_label
_atom_site_fract_x
_atom_site_fract_y
_atom_site_fract_z
Rb1 0.188 0.188 0.325
Rb2 0.812 0.812 0.675
Tl1 0.117 0.621 0.229
Tl2 0.305 0.305 0.860
Tl3 0.379 0.883 0.771
Tl4 0.438 0.438 0.628
Tl5 0.562 0.562 0.372
Tl6 0.621 0.117 0.229
Tl7 0.695 0.695 0.140
Tl8 0.883 0.379 0.771
In1 0.000 0.000 0.500
In2 0.235 0.765 0.000
In3 0.765 0.235 0.000
```

***

11.
# RbTl9In2

Crystalline RbTl9In2 at its relaxed geometry (PBE, Alexandria).

Output
Energy of formation from the pure elements, eV per atom: -0.0185
Mass density, g cm⁻³: 9.4

The structure in CIF format:
```
data_RbTl9In2
_cell_length_a 11.244
_cell_length_b 11.244
_cell_length_c 3.486
_cell_angle_alpha 90.00
_cell_angle_beta 90.00
_cell_angle_gamma 120.00
_symmetry_space_group_name_H-M 'P 1'
_symmetry_Int_Tables_number 1
_symmetry_space_group_name_Hall 'P 1'
loop_
_atom_site_label
_atom_site_fract_x
_atom_site_fract_y
_atom_site_fract_z
Rb1 0.000 0.000 0.000
Tl1 0.000 0.500 0.000
Tl2 0.184 0.368 0.500
Tl3 0.184 0.816 0.500
Tl4 0.368 0.184 0.500
Tl5 0.500 0.000 0.000
Tl6 0.500 0.500 0.000
Tl7 0.632 0.816 0.500
Tl8 0.816 0.184 0.500
Tl9 0.816 0.632 0.500
In1 0.333 0.667 0.000
In2 0.667 0.333 0.000
```

***

12.
# Rb2TlIn2

Crystalline Rb2TlIn2 at its relaxed geometry (PBE, Alexandria).

Output
Energy of formation from the pure elements, eV per atom: 0.2418
Mass density, g cm⁻³: 4.7
Excess energy over the best structure of this formula in the dataset, meV per atom: 312

The structure in CIF format:
```
data_Rb2TlIn2
_cell_length_a 5.081
_cell_length_b 5.081
_cell_length_c 16.631
_cell_angle_alpha 90.00
_cell_angle_beta 90.00
_cell_angle_gamma 90.00
_symmetry_space_group_name_H-M 'P 1'
_symmetry_Int_Tables_number 1
_symmetry_space_group_name_Hall 'P 1'
loop_
_atom_site_label
_atom_site_fract_x
_atom_site_fract_y
_atom_site_fract_z
Rb1 0.000 0.500 0.250
Rb2 0.000 0.500 0.750
Rb3 0.500 0.000 0.250
Rb4 0.500 0.000 0.750
Tl1 0.000 0.000 0.000
Tl2 0.500 0.500 0.500
In1 0.000 0.000 0.414
In2 0.000 0.000 0.586
In3 0.500 0.500 0.086
In4 0.500 0.500 0.914
```